Entry from Alexandria via LeMat-Bulk: Ce6Zn2Sn after structural relaxation (PBE-GGA).

Cell and atoms, written as CIF:
```
data_Ce6Zn2Sn
_cell_length_a 8.9624
_cell_length_b 8.9624
_cell_length_c 2.9796
_cell_angle_alpha 90.00
_cell_angle_beta 90.00
_cell_angle_gamma 120.00
_symmetry_space_group_name_H-M 'P 6/m m m'
_symmetry_Int_Tables_number 191
_symmetry_space_group_name_Hall '-P 6 2'
loop_
_atom_site_label
_atom_site_type_symbol
_atom_site_fract_x
_atom_site_fract_y
_atom_site_fract_z
Ce1 Ce 0.0000 0.3463 0.0000
Zn1 Zn 0.3333 0.6667 0.5000
Sn1 Sn 0.0000 0.0000 0.5000
```

Values from the calculation:
Its size of the total moment is 1.718 μB/f.u. The value obtained for the density of states at the Fermi level is 21.8 states/eV per cell. The value obtained for the total energy is -4.85 eV per atom. The formation energy comes out at -170 meV/atom.